Record 1
Below is a relaxed structure of RbCa3Pd, with properties calculated at the PBE-GGA level.

Summary:
Symmetry: Pm-3m, No. 221
Calculated volume: 194.4 Å³/cell
DOS at the Fermi energy: 5.4 states/eV per cell
Formation energy from the elements: 1.30 eV per atom

Lattice parameters (Å, degrees): 5.793 5.793 5.793 90.00 90.00 90.00
Each line ends with the local moment (μB).
Fractional positions:
Rb (0.000, 0.000, 0.000)  0.21
Pd (0.500, 0.500, 0.500)  0.01
Ca (0.000, 0.500, 0.000)  0.21
Ca (0.000, 0.000, 0.500)  0.31
Ca (0.500, 0.000, 0.000)  0.11

---

Record 2
Below is a relaxed structure of TiAg5S4, with properties calculated at the PBE-GGA level.

Summary:
Symmetry: C2/m, No. 12
Calculated volume: 187.1 Å³/cell
Uncorrected formation energy: -0.2824 eV per atom
DOS at the Fermi energy: 2.9 states/eV per cell

Lattice parameters (Å, degrees): 3.608 6.540 8.195 82.82 102.72 90.00
Fractional positions:
S (0.939, 0.234, 0.878)
S (0.373, 0.816, 0.746)
S (0.061, 0.766, 0.122)
S (0.627, 0.184, 0.254)
Ag (0.209, 0.865, 0.418)
Ag (0.500, 0.500, 0.000)
Ag (0.813, 0.572, 0.625)
Ag (0.187, 0.428, 0.375)
Ag (0.791, 0.135, 0.582)
Ti (0.500, 0.000, 0.000)